# La6HOs2Br3

A relaxed La6HOs2Br3 crystal (PBE, the Alexandria database).

Unit cell a=7.1176 b=12.3343 c=8.2880 alpha=90.00 beta=106.67 gamma=90.00
Space group C2/m (No. 12)
Asymmetric unit:
La  0.2269  0.0000  0.1962 x4
La  0.2348  0.3308  0.1967 x8
H  0.0000  0.5000  0.0000 x2
Os  0.0000  0.1665  0.0000 x4
Br  0.0000  0.0000  0.5000 x2
Br  0.0000  0.3296  0.5000 x4

The total DFT energy (no corrections) is -0.2177 Ha/atom.